{"formula": "Pa2Zn4Ga5", "functional": "PBE-GGA", "state": "optimized geometry", "formation_energy_kcal_per_mol_atoms": 1.0, "final_energy_ev_per_atom": -3.521, "spacegroup": "R-3m (166)", "cell": [[4.304, 0.000, 0.000], [2.152, 3.727, 0.000], [2.152, 1.242, 14.520]], "species": ["Pa", "Pa", "Zn", "Zn", "Zn", "Zn", "Ga", "Ga", "Ga", "Ga", "Ga"], "fractional_positions": [[0.132, 0.132, 0.603], [0.868, 0.868, 0.397], [0.685, 0.685, 0.946], [0.570, 0.570, 0.289], [0.430, 0.430, 0.711], [0.315, 0.315, 0.054], [0.748, 0.748, 0.757], [0.627, 0.627, 0.120], [0.500, 0.500, 0.500], [0.373, 0.373, 0.880], [0.252, 0.252, 0.243]]}

---

{"formula": "Pr2NdSmY5", "functional": "PBE-GGA", "state": "optimized geometry", "formation_energy_kcal_per_mol_atoms": 5.4, "final_energy_ev_per_atom": -5.472, "spacegroup": "I4/mcm (140)", "cell": [[-4.058, -7.666, -1.094], [7.222, -4.192, 2.589], [-4.112, 6.199, 6.744]], "species": ["Pr", "Pr", "Pr", "Pr", "Nd", "Nd", "Sm", "Sm", "Y", "Y", "Y", "Y", "Y", "Y", "Y", "Y", "Y", "Y"], "fractional_positions": [[0.118, 0.382, 0.000], [0.618, 0.118, 0.000], [0.382, 0.882, 0.000], [0.882, 0.618, 0.000], [0.250, 0.750, 0.500], [0.750, 0.250, 0.500], [0.250, 0.250, 0.500], [0.750, 0.750, 0.500], [0.930, 0.430, 0.277], [0.653, 0.153, 0.723], [0.070, 0.570, 0.723], [0.153, 0.070, 0.723], [0.570, 0.653, 0.723], [0.847, 0.930, 0.277], [0.430, 0.347, 0.277], [0.347, 0.847, 0.277], [0.500, 0.500, 0.000], [0.000, 0.000, 0.000]]}

---

{"formula": "Cs2TlHg5Pd", "functional": "PBE-GGA", "state": "optimized geometry", "formation_energy_kcal_per_mol_atoms": -4.0, "final_energy_ev_per_atom": -1.370, "spacegroup": "I4mm (107)", "cell": [[-0.353, -7.451, -0.330], [6.495, 3.070, 2.035], [-3.922, 3.415, 5.358]], "species": ["Cs", "Cs", "Tl", "Hg", "Hg", "Hg", "Hg", "Hg", "Pd"], "fractional_positions": [[0.500, 0.268, 0.768], [0.500, 0.768, 0.268], [0.000, 0.681, 0.681], [0.504, 0.268, 0.268], [0.496, 0.764, 0.764], [0.000, 0.764, 0.268], [0.000, 0.268, 0.764], [0.000, 0.254, 0.254], [0.000, 0.965, 0.965]]}

---

{"formula": "Cr2AsIr", "functional": "PBE-GGA", "state": "optimized geometry", "formation_energy_kcal_per_mol_atoms": 3.7, "final_energy_ev_per_atom": -8.029, "spacegroup": "C2/m (12)", "cell": [[4.647, 0.002, 0.008], [3.774, 2.711, 0.008], [0.635, 0.205, 4.278]], "species": ["As", "Cr", "Cr", "Ir"], "fractional_positions": [[0.250, 0.250, 0.250], [0.006, 0.006, 0.987], [0.494, 0.494, 0.513], [0.750, 0.750, 0.750]]}

---

{"formula": "Re3AsSe", "functional": "PBE-GGA", "state": "optimized geometry", "final_energy_ev_per_atom": -7.225, "spacegroup": "Pm-3m (221)", "cell": [[4.572, 0.000, 0.000], [0.000, 4.572, 0.000], [0.000, 0.000, 4.572]], "species": ["Re", "Re", "Re", "As", "Se"], "fractional_positions": [[0.000, 0.500, 0.000], [0.000, 0.000, 0.500], [0.500, 0.000, 0.000], [0.500, 0.500, 0.500], [0.000, 0.000, 0.000]]}

---

{"formula": "TiTe2Pd", "functional": "PBE-GGA", "state": "optimized geometry", "final_energy_ev_per_atom": -5.065, "spacegroup": "Fm-3m (225)", "cell": [[0.000, 3.465, 3.465], [3.465, 0.000, 3.465], [3.465, 3.465, 0.000]], "species": ["Te", "Te", "Pd", "Ti"], "fractional_positions": [[0.250, 0.250, 0.250], [0.750, 0.750, 0.750], [0.500, 0.500, 0.500], [0.000, 0.000, 0.000]]}

---

{"formula": "AsIrRhBr2", "functional": "PBE-GGA", "state": "optimized geometry", "final_energy_ev_per_atom": -3.699, "spacegroup": "P4/mmm (123)", "cell": [[5.046, 0.000, 0.000], [0.000, 5.046, 0.000], [0.000, 0.000, 4.684]], "species": ["As", "Ir", "Rh", "Br", "Br"], "fractional_positions": [[0.000, 0.000, 0.500], [0.500, 0.500, 0.500], [0.000, 0.000, 0.000], [0.000, 0.500, 0.000], [0.500, 0.000, 0.000]]}

---

{"formula": "KInAs2Br", "functional": "PBE-GGA", "state": "optimized geometry", "final_energy_ev_per_atom": -3.003, "spacegroup": "P4/mmm (123)", "cell": [[-3.599, -1.859, 3.350], [3.424, -3.623, 1.669], [2.035, 3.938, 4.371]], "species": ["As", "As", "K", "Br", "In"], "fractional_positions": [[0.000, 0.500, 0.000], [0.500, 0.000, 0.000], [0.500, 0.500, 0.500], [0.000, 0.000, 0.500], [0.000, 0.000, 0.000]]}

---

{"formula": "Ni5Pt12Rh2", "functional": "PBE-GGA", "state": "optimized geometry", "formation_energy_kcal_per_mol_atoms": 5.3, "final_energy_ev_per_atom": -5.881, "spacegroup": "C2/m (12)", "cell": [[-2.173, -2.480, 4.208], [6.665, 3.260, 1.967], [-5.268, 6.107, 0.878]], "species": ["Ni", "Ni", "Ni", "Ni", "Ni", "Pt", "Pt", "Pt", "Pt", "Pt", "Pt", "Pt", "Pt", "Pt", "Pt", "Pt", "Pt", "Rh", "Rh"], "fractional_positions": [[0.295, 0.589, 0.612], [0.370, 0.741, 0.125], [0.000, 0.000, 0.500], [0.630, 0.259, 0.875], [0.705, 0.411, 0.388], [0.088, 0.177, 0.281], [0.041, 0.590, 0.875], [0.549, 0.590, 0.875], [0.107, 0.712, 0.393], [0.605, 0.712, 0.393], [0.476, 0.952, 0.667], [0.524, 0.048, 0.333], [0.893, 0.288, 0.607], [0.395, 0.288, 0.607], [0.959, 0.410, 0.125], [0.451, 0.410, 0.125], [0.912, 0.823, 0.719], [0.746, 0.000, 0.000], [0.254, 0.000, 0.000]]}

---

{"formula": "FeMoP", "functional": "PBE-GGA", "state": "optimized geometry", "formation_energy_kcal_per_mol_atoms": -4.5, "final_energy_ev_per_atom": -8.428, "spacegroup": "I4mm (107)", "cell": [[5.014, -0.006, 0.007], [4.211, 2.723, 0.006], [0.804, 0.238, 2.719]], "species": ["Fe", "Mo", "P"], "fractional_positions": [[0.024, 0.024, 0.976], [0.328, 0.328, 0.672], [0.648, 0.648, 0.352]]}

---

{"formula": "Li2NiAuI", "functional": "PBE-GGA", "state": "optimized geometry", "final_energy_ev_per_atom": -2.314, "spacegroup": "P4/mmm (123)", "cell": [[-4.046, -2.708, -1.239], [0.573, -2.952, 4.580], [-2.931, 3.253, 2.463]], "species": ["I", "Ni", "Au", "Li", "Li"], "fractional_positions": [[0.000, 0.000, 0.000], [0.500, 0.500, 0.500], [0.000, 0.500, 0.000], [0.000, 0.000, 0.500], [0.500, 0.000, 0.000]]}

---

{"formula": "Mg8Ga2Rh", "functional": "PBE-GGA", "state": "optimized geometry", "formation_energy_kcal_per_mol_atoms": -4.6, "final_energy_ev_per_atom": -2.576, "spacegroup": "C2/m (12)", "cell": [[-2.568, 3.758, -0.030], [-2.418, -1.603, 6.137], [7.683, 2.495, 0.170]], "species": ["Mg", "Mg", "Mg", "Mg", "Mg", "Mg", "Mg", "Mg", "Ga", "Ga", "Rh"], "fractional_positions": [[0.400, 0.572, 0.799], [0.660, 0.926, 0.319], [0.818, 0.746, 0.636], [0.979, 0.208, 0.957], [0.182, 0.254, 0.364], [0.340, 0.074, 0.681], [0.600, 0.428, 0.201], [0.021, 0.792, 0.043], [0.818, 0.324, 0.636], [0.182, 0.676, 0.364], [0.500, 0.000, 0.000]]}

---

{"formula": "Tl3PtCl", "functional": "PBE-GGA", "state": "optimized geometry", "final_energy_ev_per_atom": -3.435, "spacegroup": "Pm-3m (221)", "cell": [[-4.985, -1.942, 0.461], [1.992, -4.920, 0.811], [0.129, 0.923, 5.288]], "species": ["Tl", "Tl", "Tl", "Pt", "Cl"], "fractional_positions": [[0.000, 0.500, 0.000], [0.000, 0.000, 0.500], [0.500, 0.000, 0.000], [0.000, 0.000, 0.000], [0.500, 0.500, 0.500]]}

---

{"formula": "Ba3Cd3Ga2", "functional": "PBE-GGA", "state": "optimized geometry", "formation_energy_kcal_per_mol_atoms": -7.9, "final_energy_ev_per_atom": -2.162, "spacegroup": "Cmcm (63)", "cell": [[-3.697, -1.553, -3.140], [-0.579, -2.465, 6.030], [-9.463, 13.340, 4.544]], "species": ["Ba", "Ba", "Ba", "Ba", "Ba", "Ba", "Cd", "Cd", "Cd", "Cd", "Cd", "Cd", "Ga", "Ga", "Ga", "Ga"], "fractional_positions": [[0.899, 0.797, 0.398], [0.101, 0.203, 0.898], [0.899, 0.797, 0.102], [0.101, 0.203, 0.602], [0.594, 0.187, 0.250], [0.406, 0.813, 0.750], [0.619, 0.238, 0.462], [0.381, 0.762, 0.962], [0.619, 0.238, 0.038], [0.381, 0.762, 0.538], [0.295, 0.589, 0.250], [0.705, 0.411, 0.750], [0.801, 0.602, 0.901], [0.199, 0.398, 0.401], [0.801, 0.602, 0.599], [0.199, 0.398, 0.099]]}

---

{"formula": "KTl10Sn2", "functional": "PBE-GGA", "state": "optimized geometry", "formation_energy_kcal_per_mol_atoms": -0.3, "final_energy_ev_per_atom": -2.532, "spacegroup": "Fmmm (69)", "cell": [[-5.913, 0.821, 2.520], [0.204, -0.123, 8.851], [-1.833, 8.246, 1.343]], "species": ["K", "Tl", "Tl", "Tl", "Tl", "Tl", "Tl", "Tl", "Tl", "Tl", "Tl", "Sn", "Sn"], "fractional_positions": [[0.000, 0.000, 0.000], [0.355, 0.640, 0.650], [0.645, 0.360, 0.350], [0.995, 0.360, 0.650], [0.005, 0.640, 0.350], [0.000, 0.000, 0.500], [0.500, 0.000, 0.500], [0.286, 0.218, 0.210], [0.714, 0.782, 0.790], [0.504, 0.782, 0.210], [0.496, 0.218, 0.790], [0.000, 0.500, 0.000], [0.500, 0.500, 0.000]]}

---

{"formula": "Mg5IrAu", "functional": "PBE-GGA", "state": "optimized geometry", "formation_energy_kcal_per_mol_atoms": -8.2, "final_energy_ev_per_atom": -3.231, "spacegroup": "P4/mmm (123)", "cell": [[-1.864, 4.163, 0.678], [-3.091, -0.844, -3.316], [-8.044, -5.027, 8.774]], "species": ["Mg", "Mg", "Mg", "Mg", "Mg", "Mg", "Mg", "Mg", "Mg", "Mg", "Ir", "Ir", "Au", "Au"], "fractional_positions": [[0.000, 0.500, 0.108], [0.001, 0.500, 0.608], [0.500, 0.000, 0.608], [0.000, 0.000, 0.250], [0.500, 0.999, 0.892], [0.500, 0.001, 0.108], [0.000, 0.000, 0.750], [0.500, 0.000, 0.392], [0.999, 0.500, 0.392], [0.000, 0.500, 0.892], [0.000, 0.000, 0.000], [0.000, 0.000, 0.500], [0.500, 0.500, 0.250], [0.500, 0.500, 0.750]]}

---

{"formula": "MgCd2Hg2", "functional": "PBE-GGA", "state": "optimized geometry", "formation_energy_kcal_per_mol_atoms": 0.7, "final_energy_ev_per_atom": -0.776, "spacegroup": "P4/mbm (127)", "cell": [[7.863, 0.000, 0.000], [0.000, 7.863, 0.000], [0.000, 0.000, 3.993]], "species": ["Mg", "Mg", "Hg", "Hg", "Hg", "Hg", "Cd", "Cd", "Cd", "Cd"], "fractional_positions": [[0.000, 0.000, 0.000], [0.500, 0.500, 0.000], [0.171, 0.671, 0.500], [0.671, 0.829, 0.500], [0.829, 0.329, 0.500], [0.329, 0.171, 0.500], [0.367, 0.867, 0.000], [0.867, 0.633, 0.000], [0.633, 0.133, 0.000], [0.133, 0.367, 0.000]]}

---

{"formula": "K2VBr", "functional": "PBE-GGA", "state": "optimized geometry", "final_energy_ev_per_atom": -3.008, "spacegroup": "I-42d (122)", "cell": [[9.172, 0.000, 0.000], [0.000, 9.172, 0.000], [4.586, 4.586, 4.346]], "species": ["K", "K", "K", "K", "Br", "Br", "V", "V"], "fractional_positions": [[0.669, 0.125, 0.250], [0.081, 0.625, 0.250], [0.375, 0.331, 0.750], [0.875, 0.919, 0.750], [0.000, 0.000, 0.000], [0.750, 0.250, 0.500], [0.500, 0.500, 0.000], [0.250, 0.750, 0.500]]}